[1]
This record from the Alexandria database describes crystalline NbBOsF2 at its relaxed geometry. The functional is GGA-PBE.

## Properties
M_tot in μB per atom: 0.1906
ΔE_f (raw) in kcal/mol of atoms: 7.46

Cell and atoms, written as extended XYZ:
```
5
Lattice="3.588 0.000 0.000 0.000 3.588 0.000 0.000 0.000 5.320" Properties=species:S:1:pos:R:3 pbc="T T T"
Nb 0.000 0.000 0.000
B 0.000 0.000 2.660
Os 1.794 1.794 0.000
F 0.000 1.794 2.660
F 1.794 0.000 2.660
```

---

[2]
This record from the Alexandria database describes crystalline ErNi5Hg at its relaxed geometry. The functional is GGA-PBE.

## Properties
M_tot in μB per atom: 0.1529
Energy of formation in meV per atom: -227.4

Cell and atoms, written as extended XYZ:
```
28
Lattice="8.068 0.000 0.000 0.000 4.825 0.000 0.000 0.000 10.317" Properties=species:S:1:pos:R:3 pbc="T T T"
Er 2.004 1.206 0.636
Er 2.030 3.619 5.794
Er 6.038 1.206 4.522
Er 6.064 3.619 9.681
Ni 0.398 3.619 1.136
Ni 0.554 4.825 3.237
Ni 0.554 2.413 3.237
Ni 0.649 1.206 5.333
Ni 1.515 1.206 7.621
Ni 2.519 3.619 2.463
Ni 3.385 3.619 0.175
Ni 3.480 0.000 8.395
Ni 3.480 2.412 8.395
Ni 3.636 1.206 6.294
Ni 4.432 3.619 4.022
Ni 4.588 4.825 1.922
Ni 4.588 2.413 1.922
Ni 4.683 1.206 10.142
Ni 5.549 1.206 7.854
Ni 6.552 3.619 2.696
Ni 7.419 3.619 4.983
Ni 7.514 0.000 7.080
Ni 7.514 2.412 7.080
Ni 7.670 1.206 9.181
Hg 1.089 3.619 8.929
Hg 2.945 1.206 3.770
Hg 5.123 3.619 6.546
Hg 6.979 1.206 1.388
```

---

[3]
This record from the Alexandria database describes crystalline BaZn2 at its relaxed geometry. The functional is GGA-PBE.

## Properties
M_tot in μB per atom: 0.0000
Energy of formation in meV per atom: -155.7

Cell and atoms, written as extended XYZ:
```
6
Lattice="5.395 -2.365 0.000 5.395 2.365 0.000 -0.746 0.000 6.933" Properties=species:S:1:pos:R:3 pbc="T T T"
Ba 1.101 0.000 2.143
Ba 8.944 0.000 4.790
Zn 1.378 0.000 5.820
Zn 4.237 0.000 0.668
Zn 5.808 0.000 6.265
Zn 8.666 0.000 1.114
```